10
Lattice="0.0000 5.4553 5.4553 5.4553 0.0000 5.4553 5.4553 5.4553 0.0000" Properties=species:S:1:pos:R:3 comment="K2NaGaBr6 | the Alexandria database | PBE | relaxed" rho_g_cm3=3.33 sg="Fm-3m (225)" relative_energy_ev_per_fu=0.292 raw_formation_energy_ev_per_atom=-1.2645 magmom_total_mub_per_fu=0.00 pbc="T T T"
K 2.7277 2.7277 2.7277
K 8.1830 8.1830 8.1830
Na 0.0000 0.0000 0.0000
Ga 5.4553 5.4553 5.4553
Br 5.4553 5.4553 2.8920
Br 5.4553 2.8920 5.4553
Br 8.0186 5.4553 5.4553
Br 2.8920 5.4553 5.4553
Br 5.4553 8.0186 5.4553
Br 5.4553 5.4553 8.0186

14
Lattice="7.5829 0.0000 0.0000 -3.7914 6.5669 0.0000 0.0000 0.0000 3.9113" Properties=species:S:1:pos:R:3 comment="Li3BiO3 | the Alexandria database | PBE | relaxed" rho_g_cm3=4.74 sg="P6_3/mmc (194)" relative_energy_ev_per_fu=1.614 raw_formation_energy_ev_per_atom=-1.4285 magmom_total_mub_per_fu=0.00 pbc="T T T"
Li 0.0000 1.8023 0.9778
Li -2.2306 5.6658 0.9778
Li 1.5609 0.9012 2.9335
Li 2.2306 5.6658 0.9778
Li 6.0220 0.9012 2.9335
Li 3.7914 4.7646 2.9335
Bi 0.0000 4.3780 2.9335
Bi 3.7914 2.1890 0.9778
O 0.0000 2.2054 2.9335
O -1.8815 5.4642 2.9335
O 1.9100 1.1027 0.9778
O 1.8815 5.4642 2.9335
O 5.6729 1.1027 0.9778
O 3.7914 4.3615 0.9778

10
Lattice="4.2030 0.0000 0.0000 0.0000 4.2030 0.0000 0.0000 0.0000 9.9377" Properties=species:S:1:pos:R:3 comment="Ac2GaSi3Ni4 | the Alexandria database | PBE | relaxed" rho_g_cm3=7.97 sg="P-4m2 (115)" raw_formation_energy_ev_per_atom=-0.6354 magmom_total_mub_per_fu=0.00 pbc="T T T"
Ac 0.0000 2.1015 2.4598
Ac 2.1015 0.0000 7.4779
Ga 0.0000 0.0000 4.9688
Si 0.0000 2.1015 8.7830
Si 2.1015 0.0000 1.1546
Si 2.1015 2.1015 4.9688
Ni 0.0000 0.0000 0.0000
Ni 0.0000 2.1015 6.2727
Ni 2.1015 0.0000 3.6649
Ni 2.1015 2.1015 0.0000

5
Lattice="4.4763 0.0000 0.0000 0.0000 4.4763 0.0000 0.0000 0.0000 4.4763" Properties=species:S:1:pos:R:3 comment="TiCr3P | the Alexandria database | PBE | relaxed" e_form_ev_per_atom=1.5406 rho_g_cm3=4.35 sg="Pm-3m (221)" relative_energy_ev_per_fu=5.904 magmom_total_mub_per_fu=8.13 pbc="T T T"
Ti 0.0000 0.0000 0.0000
Cr 0.0000 0.0000 2.2381
Cr 0.0000 2.2381 0.0000
Cr 2.2381 0.0000 0.0000
P 2.2381 2.2381 2.2381